No. 1
BaSrAl3 | PBE-GGA | optimized geometry

Calculated values
- ΔE_f (eV/atom) = 0.903
- excess energy over the best structure of this formula in the dataset (eV per atom) = 0.205
- DOS at the Fermi energy (states/eV per atom) = 0.95

```
5
Lattice="-1.006 5.754 0.141 -5.645 -1.015 1.120 1.127 0.057 5.734" Properties=species:S:1:pos:R:3 pbc="T T T"
Sr -2.762 2.398 3.497
Ba 0.000 0.000 0.000
Al -2.822 -0.507 0.560
Al 0.563 0.028 2.867
Al -0.503 2.877 0.070
```

***

No. 2
SbIrPt2 | PBE-GGA | optimized geometry

Calculated values
- E_form (uncorrected) (eV per atom) = 0.1188
- DOS at the Fermi energy (states/eV per atom) = 1.86

```
4
Lattice="5.074 0.103 0.000 1.834 4.732 0.000 -3.454 -2.418 2.825" Properties=species:S:1:pos:R:3 pbc="T T T"
Ir 2.537 0.051 1.413
Pt 0.000 0.000 0.000
Pt 3.454 2.418 0.000
Sb 0.917 2.366 1.413
```

***

No. 3
NaTl2Au9 | PBE-GGA | optimized geometry

Calculated values
- ΔE_f (eV/atom) = -0.101
- DOS at the Fermi energy (states/eV per atom) = 0.35

```
12
Lattice="-4.482 -0.484 -3.430 -1.725 -5.120 -1.701 -7.701 -2.443 5.731" Properties=species:S:1:pos:R:3 pbc="T T T"
Na 0.000 0.000 0.000
Tl -8.579 -5.847 -1.996
Tl -5.328 -2.201 2.596
Au -11.835 -6.179 2.305
Au -2.073 -1.869 -1.705
Au -6.954 -4.024 0.300
Au -4.490 -2.938 -0.717
Au -6.747 -3.182 -2.445
Au -5.359 -5.516 -1.574
Au -9.417 -5.110 1.317
Au -8.549 -2.531 2.174
Au -7.160 -4.866 3.044
```

***

No. 4
Nd2SbN | PBE-GGA | optimized geometry

Calculated values
- excess energy over the best structure of this formula in the dataset (eV per atom) = 0.614
- E_form (uncorrected) (eV per atom) = -0.6383
- DOS at the Fermi energy (states/eV per atom) = 0.33

```
4
Lattice="3.271 0.000 0.000 0.000 3.271 0.000 0.000 0.000 7.924" Properties=species:S:1:pos:R:3 pbc="T T T"
Sb 1.636 1.636 3.962
Nd 0.000 0.000 6.430
Nd 0.000 0.000 1.494
N 1.636 1.636 0.000
```

***

- Among the records above, which one has the lowest DOS at the Fermi energy?
  Nd2SbN